TbGa4IrPd2 (PBE-GGA, relaxed); uncorrected energy = -5.09 eV/atom; space group = No. 166; formation energy = -594 meV/atom
1.0
-1.2933 0.8715 3.9902
1.2668 -2.4835 3.2529
6.9825 4.5434 3.5707
Ir Ga Tb Pd
1 4 1 2
Cartesian
3.4780 1.4656 5.4069
4.1892 2.5134 3.1087
5.6136 3.0176 5.7601
2.7668 0.4179 7.7051
1.3425 -0.0863 5.0537
0.0000 0.0000 0.0000
4.9831 2.0284 8.0716
1.9730 0.9029 2.7421